a) # V2SiO4 GGA+U optimized geometry
data_V2SiO4
_chemical_formula_sum 'V8 Si4 O16'
_cell_length_a 10.704
_cell_length_b 6.259
_cell_length_c 4.888
_cell_angle_alpha 90.00
_cell_angle_beta 90.00
_cell_angle_gamma 90.00
_space_group_name_H-M_alt 'P n m a'
_space_group_IT_number 62
loop_
_space_group_symop_operation_xyz
'x,y,z'
'-x,-y,-z'
'-x+1/2,-y,z+1/2'
'x+1/2,y,-z+1/2'
'x+1/2,-y+1/2,-z+1/2'
'-x+1/2,y+1/2,z+1/2'
'-x,y+1/2,-z'
'x,-y+1/2,z'
loop_
_atom_site_label
_atom_site_fract_x
_atom_site_fract_y
_atom_site_fract_z
V1 0.000 0.000 0.000
V2 0.225 0.250 0.494
Si1 0.095 0.750 0.427
O1 0.048 0.250 0.710
O2 0.095 0.750 0.762
O3 0.161 0.539 0.280
# Volume ... 11.7 A^3/atom
# Total magnetization ... 24.00 μB per cell

***

b) # V2SiO4 GGA+U optimized geometry
data_V2SiO4
_chemical_formula_sum 'V4 Si2 O8'
_cell_length_a 3.413
_cell_length_b 3.413
_cell_length_c 12.032
_cell_angle_alpha 90.00
_cell_angle_beta 90.00
_cell_angle_gamma 90.00
_space_group_name_H-M_alt 'I 4/m m m'
_space_group_IT_number 139
_space_group_name_Hall '-I 4 2'
loop_
_atom_site_label
_atom_site_fract_x
_atom_site_fract_y
_atom_site_fract_z
V1 0.000 0.000 0.160
Si1 0.000 0.000 0.500
O1 0.000 0.000 0.340
O2 0.000 0.500 0.000
# Volume ... 10.0 A^3/atom
# Total magnetization ... 12.00 μB per cell

***

Most stable: a)

***

a) # VSi3O GGA+U optimized geometry
data_VSi3O
_chemical_formula_sum 'V1 Si3 O1'
_cell_length_a 4.618
_cell_length_b 4.618
_cell_length_c 4.618
_cell_angle_alpha 90.00
_cell_angle_beta 90.00
_cell_angle_gamma 90.00
_space_group_name_H-M_alt 'P m -3 m'
_space_group_IT_number 221
_space_group_name_Hall '-P 4 2 3'
loop_
_atom_site_label
_atom_site_fract_x
_atom_site_fract_y
_atom_site_fract_z
V1 0.000 0.000 0.000
Si1 0.000 0.000 0.500
O1 0.500 0.500 0.500
# Volume ... 19.7 A^3/atom
# Total magnetization ... 2.94 μB per cell

***

b) # VSi3O GGA+U optimized geometry
data_VSi3O
_chemical_formula_sum 'V1 Si3 O1'
_cell_length_a 4.080
_cell_length_b 4.080
_cell_length_c 4.080
_cell_angle_alpha 90.00
_cell_angle_beta 90.00
_cell_angle_gamma 90.00
_space_group_name_H-M_alt 'P m -3 m'
_space_group_IT_number 221
_space_group_name_Hall '-P 4 2 3'
loop_
_atom_site_label
_atom_site_fract_x
_atom_site_fract_y
_atom_site_fract_z
V1 0.000 0.000 0.000
Si1 0.000 0.500 0.500
O1 0.500 0.500 0.500
# Volume ... 13.6 A^3/atom
# Total magnetization ... 2.32 μB per cell

***

Most stable: b)

***

a) # SiW2O GGA+U optimized geometry
data_SiW2O
_chemical_formula_sum 'Si4 W8 O4'
_cell_length_a 6.021
_cell_length_b 6.021
_cell_length_c 6.021
_cell_angle_alpha 90.00
_cell_angle_beta 90.00
_cell_angle_gamma 90.00
_space_group_name_H-M_alt 'F m -3 m'
_space_group_IT_number 225
_space_group_name_Hall '-F 4 2 3'
loop_
_atom_site_label
_atom_site_fract_x
_atom_site_fract_y
_atom_site_fract_z
Si1 0.000 0.000 0.000
W1 0.250 0.250 0.250
O1 0.000 0.000 0.500
# Volume ... 13.6 A^3/atom
# Total magnetization ... 7.86 μB per cell

***

b) # SiW2O GGA+U optimized geometry
data_SiW2O
_chemical_formula_sum 'Si4 W8 O4'
_cell_length_a 5.320
_cell_length_b 5.320
_cell_length_c 10.542
_cell_angle_alpha 90.00
_cell_angle_beta 90.00
_cell_angle_gamma 90.00
_space_group_name_H-M_alt 'I -4 2 d'
_space_group_IT_number 122
_space_group_name_Hall 'I -4 2bw'
loop_
_atom_site_label
_atom_site_fract_x
_atom_site_fract_y
_atom_site_fract_z
Si1 0.000 0.000 0.000
W1 0.187 0.250 0.625
O1 0.000 0.000 0.500
# Volume ... 18.6 A^3/atom
# Total magnetization ... 17.41 μB per cell

***

Most stable: b)

***

a) # SiW2O2 GGA+U optimized geometry
data_SiW2O2
_chemical_formula_sum 'Si2 W4 O4'
_cell_length_a 6.896
_cell_length_b 6.896
_cell_length_c 2.767
_cell_angle_alpha 90.00
_cell_angle_beta 90.00
_cell_angle_gamma 90.00
_space_group_name_H-M_alt 'P 4/m b m'
_space_group_IT_number 127
_space_group_name_Hall '-P 4 2ab'
loop_
_atom_site_label
_atom_site_fract_x
_atom_site_fract_y
_atom_site_fract_z
Si1 0.000 0.000 0.000
W1 0.155 0.345 0.000
O1 0.120 0.620 0.500
# Volume ... 13.2 A^3/atom
# Total magnetization ... 5.88 μB per cell

***

b) # SiW2O2 GGA+U optimized geometry
data_SiW2O2
_chemical_formula_sum 'Si2 W4 O4'
_cell_length_a 3.386
_cell_length_b 3.386
_cell_length_c 10.953
_cell_angle_alpha 90.00
_cell_angle_beta 90.00
_cell_angle_gamma 90.00
_space_group_name_H-M_alt 'I 4/m m m'
_space_group_IT_number 139
_space_group_name_Hall '-I 4 2'
loop_
_atom_site_label
_atom_site_fract_x
_atom_site_fract_y
_atom_site_fract_z
Si1 0.000 0.000 0.000
W1 0.000 0.000 0.372
O1 0.000 0.500 0.250
# Volume ... 12.6 A^3/atom
# Total magnetization ... 3.86 μB per cell

***

Most stable: b)